[1]
Compound: SiAuBr2
Source: the Alexandria database
Functional: GGA-PBE
Structure: relaxed

Lattice parameters (Å, degrees): 7.0816 7.0816 7.0816 90.00 90.00 90.00
Positions (direct):
Si1 0.0000 0.0000 0.0000
Si2 0.0000 0.5000 0.5000
Si3 0.5000 0.0000 0.5000
Si4 0.5000 0.5000 0.0000
Au1 0.2500 0.2500 0.7500
Au2 0.2500 0.7500 0.2500
Au3 0.7500 0.2500 0.2500
Au4 0.7500 0.7500 0.7500
Br1 0.0000 0.0000 0.5000
Br2 0.0000 0.5000 0.0000
Br3 0.2500 0.2500 0.2500
Br4 0.2500 0.7500 0.7500
Br5 0.5000 0.0000 0.0000
Br6 0.5000 0.5000 0.5000
Br7 0.7500 0.2500 0.7500
Br8 0.7500 0.7500 0.2500

Results
total moment: 0.00 Bohr magnetons per cell
symmetry: F-43m (216)
E above lowest polymorph: 786.7 meV/atom

***

[2]
Compound: SiAu2Br
Source: the Alexandria database
Functional: GGA-PBE
Structure: relaxed

Lattice parameters (Å, degrees): 3.4896 6.5150 7.9164 90.00 90.00 90.00
Positions (direct):
Si1 0.0000 0.0000 0.0000
Si2 0.5000 0.5000 0.0000
Au1 0.0000 0.5000 0.2180
Au2 0.0000 0.5000 0.7820
Au3 0.5000 0.0000 0.2180
Au4 0.5000 0.0000 0.7820
Br1 0.0000 0.0000 0.5000
Br2 0.5000 0.5000 0.5000

Results
total moment: 0.00 Bohr magnetons per cell
symmetry: Cmmm (65)
E above lowest polymorph: 194.3 meV/atom

***

[3]
Compound: Si2AuBr
Source: the Alexandria database
Functional: GGA-PBE
Structure: relaxed

Lattice parameters (Å, degrees): 4.7217 3.7916 6.2147 90.00 96.96 90.00
Positions (direct):
Si1 0.0000 0.0000 0.0000
Si2 0.2338 0.5000 0.1318
Au1 0.4948 0.0000 0.8956
Br1 0.5335 0.5000 0.4460

Results
total moment: 0.00 Bohr magnetons per cell
symmetry: Pm (6)
E above lowest polymorph: 100.6 meV/atom

***

[4]
Compound: Si2AuBr
Source: the Alexandria database
Functional: GGA-PBE
Structure: relaxed

Lattice parameters (Å, degrees): 7.1009 4.1261 7.1199 90.00 108.20 90.00
Positions (direct):
Si1 0.1259 0.0000 0.3731
Si2 0.3741 0.5000 0.6269
Si3 0.6259 0.5000 0.3731
Si4 0.8741 0.0000 0.6269
Au1 0.0000 0.5000 0.5000
Au2 0.5000 0.0000 0.5000
Br1 0.0000 0.0000 0.0000
Br2 0.5000 0.5000 0.0000

Results
total moment: 0.00 Bohr magnetons per cell
symmetry: C2/m (12)
E above lowest polymorph: 0.0 meV/atom

***

[5]
Compound: SiAuBr2
Source: the Alexandria database
Functional: GGA-PBE
Structure: relaxed

Lattice parameters (Å, degrees): 3.9147 3.9147 13.9404 90.00 90.00 90.00
Positions (direct):
Si1 0.0000 0.0000 0.0000
Si2 0.5000 0.5000 0.5000
Au1 0.0000 0.5000 0.7500
Au2 0.5000 0.0000 0.2500
Br1 0.0000 0.0000 0.5000
Br2 0.0000 0.5000 0.2500
Br3 0.5000 0.0000 0.7500
Br4 0.5000 0.5000 0.0000

Results
total moment: 1.48 Bohr magnetons per cell
symmetry: I-4m2 (119)
E above lowest polymorph: 654.7 meV/atom

***

[6]
Compound: Si2AuBr
Source: the Alexandria database
Functional: GGA-PBE
Structure: relaxed

Lattice parameters (Å, degrees): 13.5703 3.4355 3.9591 90.00 94.51 90.00
Positions (direct):
Si1 0.0000 0.0000 0.0000
Si2 0.1184 0.5000 0.1600
Si3 0.5000 0.5000 0.0000
Si4 0.6184 0.0000 0.1600
Au1 0.1500 0.0000 0.6437
Au2 0.6500 0.5000 0.6437
Br1 0.3733 0.0000 0.6709
Br2 0.8733 0.5000 0.6709

Results
total moment: 0.00 Bohr magnetons per cell
symmetry: Cm (8)
E above lowest polymorph: 196.8 meV/atom

***

[7]
Compound: SiAu2Br
Source: the Alexandria database
Functional: GGA-PBE
Structure: relaxed

Lattice parameters (Å, degrees): 3.4932 3.4932 6.8582 90.00 90.00 90.00
Positions (direct):
Si1 0.0000 0.0000 0.0000
Au1 0.0000 0.0000 0.3778
Au2 0.5000 0.5000 0.1493
Br1 0.5000 0.5000 0.6581

Results
total moment: 0.00 Bohr magnetons per cell
symmetry: P4mm (99)
E above lowest polymorph: 259.3 meV/atom

***

[8]
Compound: SiAuBr2
Source: the Alexandria database
Functional: GGA-PBE
Structure: relaxed

Lattice parameters (Å, degrees): 6.0433 3.6257 6.2272 90.00 105.54 90.00
Positions (direct):
Si1 0.0000 0.0000 0.0000
Au1 0.7670 0.5000 0.0706
Br1 0.0104 0.0000 0.6423
Br2 0.3682 0.5000 0.1596

Results
total moment: 0.00 Bohr magnetons per cell
symmetry: Pm (6)
E above lowest polymorph: 0.0 meV/atom

***

[9]
Compound: SiAu2Br
Source: the Alexandria database
Functional: GGA-PBE
Structure: relaxed

Lattice parameters (Å, degrees): 8.4927 3.5850 6.5479 90.00 102.51 90.00
Positions (direct):
Si1 0.0000 0.0000 0.0000
Si2 0.5000 0.5000 0.0000
Au1 0.0291 0.5000 0.7223
Au2 0.2806 0.0000 0.9390
Au3 0.5291 0.0000 0.7223
Au4 0.7806 0.5000 0.9390
Br1 0.1033 0.5000 0.3576
Br2 0.6033 0.0000 0.3576

Results
total moment: 0.00 Bohr magnetons per cell
symmetry: Cm (8)
E above lowest polymorph: 55.7 meV/atom

***

[10]
Compound: SiAuBr2
Source: the Alexandria database
Functional: GGA-PBE
Structure: relaxed

Lattice parameters (Å, degrees): 3.5573 6.9583 9.2273 90.00 90.00 90.00
Positions (direct):
Si1 0.0000 0.0000 0.0000
Si2 0.5000 0.5000 0.0000
Au1 0.0000 0.5000 0.1751
Au2 0.5000 0.0000 0.1751
Br1 0.0000 0.0000 0.3869
Br2 0.0000 0.5000 0.7831
Br3 0.5000 0.0000 0.7831
Br4 0.5000 0.5000 0.3869

Results
total moment: 0.00 Bohr magnetons per cell
symmetry: Cmm2 (35)
E above lowest polymorph: 257.8 meV/atom

***

[11]
Compound: Si2AuBr
Source: the Alexandria database
Functional: GGA-PBE
Structure: relaxed

Lattice parameters (Å, degrees): 6.7600 6.7600 6.7600 90.00 90.00 90.00
Positions (direct):
Si1 0.0000 0.0000 0.0000
Si2 0.0000 0.5000 0.5000
Si3 0.2500 0.2500 0.2500
Si4 0.2500 0.7500 0.7500
Si5 0.5000 0.0000 0.5000
Si6 0.5000 0.5000 0.0000
Si7 0.7500 0.2500 0.7500
Si8 0.7500 0.7500 0.2500
Au1 0.0000 0.0000 0.5000
Au2 0.0000 0.5000 0.0000
Au3 0.5000 0.0000 0.0000
Au4 0.5000 0.5000 0.5000
Br1 0.2500 0.2500 0.7500
Br2 0.2500 0.7500 0.2500
Br3 0.7500 0.2500 0.2500
Br4 0.7500 0.7500 0.7500

Results
total moment: 0.00 Bohr magnetons per cell
symmetry: F-43m (216)
E above lowest polymorph: 741.0 meV/atom

***

[12]
Compound: SiAuBr2
Source: the Alexandria database
Functional: GGA-PBE
Structure: relaxed

Lattice parameters (Å, degrees): 3.5667 3.5667 7.0315 90.00 90.00 90.00
Positions (direct):
Si1 0.0000 0.0000 0.0000
Au1 0.0000 0.0000 0.5000
Br1 0.5000 0.5000 0.2365
Br2 0.5000 0.5000 0.7635

Results
total moment: 0.00 Bohr magnetons per cell
symmetry: P4/mmm (123)
E above lowest polymorph: 697.1 meV/atom

***

[13]
Compound: SiAuBr2
Source: the Alexandria database
Functional: GGA-PBE
Structure: relaxed

Lattice parameters (Å, degrees): 7.8222 7.7809 3.3826 90.00 90.35 90.00
Positions (direct):
Si1 0.0000 0.0000 0.0000
Si2 0.5000 0.5000 0.0000
Au1 0.0000 0.5000 0.0000
Au2 0.5000 0.0000 0.0000
Br1 0.2500 0.2500 0.0000
Br2 0.2500 0.7500 0.0000
Br3 0.7500 0.2500 0.0000
Br4 0.7500 0.7500 0.0000

Results
total moment: 0.00 Bohr magnetons per cell
symmetry: C2/m (12)
E above lowest polymorph: 514.4 meV/atom

***

[14]
Compound: SiAu2Br
Source: the Alexandria database
Functional: GGA-PBE
Structure: relaxed

Lattice parameters (Å, degrees): 5.6634 8.5774 3.5125 90.00 90.00 90.00
Positions (direct):
Si1 0.0000 0.0000 0.0000
Si2 0.5000 0.5000 0.0000
Au1 0.0000 0.2052 0.5000
Au2 0.0000 0.7948 0.5000
Au3 0.5000 0.2948 0.5000
Au4 0.5000 0.7052 0.5000
Br1 0.0000 0.5000 0.0000
Br2 0.5000 0.0000 0.0000

Results
total moment: 0.00 Bohr magnetons per cell
symmetry: Cmmm (65)
E above lowest polymorph: 67.6 meV/atom

***

[15]
Compound: SiAuBr2
Source: the Alexandria database
Functional: GGA-PBE
Structure: relaxed

Lattice parameters (Å, degrees): 3.7315 3.7315 25.1510 90.00 90.00 120.00
Positions (direct):
Si1 0.0000 0.0000 0.0000
Si2 0.3333 0.6667 0.6667
Si3 0.6667 0.3333 0.3333
Au1 0.0000 0.0000 0.7191
Au2 0.3333 0.6667 0.3858
Au3 0.6667 0.3333 0.0525
Br1 0.0000 0.0000 0.2624
Br2 0.0000 0.0000 0.4575
Br3 0.3333 0.6667 0.1242
Br4 0.3333 0.6667 0.9290
Br5 0.6667 0.3333 0.5957
Br6 0.6667 0.3333 0.7909

Results
total moment: 0.00 Bohr magnetons per cell
symmetry: R3m (160)
E above lowest polymorph: 57.9 meV/atom